No. 1
Compound: Rb2LiZnPt
Source: the Alexandria database
Functional: GGA-PBE
Structure: relaxed

```
data_Rb2LiZnPt
_chemical_formula_sum 'Rb2 Li1 Zn1 Pt1'
_space_group_name_H-M_alt 'P 4/m m m'
_space_group_IT_number 123
_space_group_name_Hall '-P 4 2'
_cell_length_a 6.551
_cell_length_b 6.551
_cell_length_c 4.804
_cell_angle_alpha 90.00
_cell_angle_beta 90.00
_cell_angle_gamma 90.00
loop_
_atom_site_label
_atom_site_fract_x
_atom_site_fract_y
_atom_site_fract_z
Rb1 0.000 0.500 0.000
Li1 0.000 0.000 0.500
Zn1 0.500 0.500 0.500
Pt1 0.000 0.000 0.000
```

E   -10.367 eV per cell
Energy relative to the elements   159 meV per atom
Total moment   0.0 Bohr magnetons per cell
Excess energy over the best structure of this formula in the dataset   58.4 meV/atom
V   206 Å³ per cell

***

No. 2
Compound: CaPr5Ir4
Source: the Alexandria database
Functional: GGA-PBE
Structure: relaxed

```
data_CaPr5Ir4
_chemical_formula_sum 'Ca2 Pr10 Ir8'
_space_group_name_H-M_alt 'C 1 2/m 1'
_space_group_IT_number 12
_cell_length_a 14.991
_cell_length_b 4.998
_cell_length_c 7.085
_cell_angle_alpha 90.00
_cell_angle_beta 92.84
_cell_angle_gamma 90.00
loop_
_space_group_symop_operation_xyz
'x,y,z'
'-x,-y,-z'
'-x,y,-z'
'x,-y,z'
'x+1/2,y+1/2,z'
'-x+1/2,-y+1/2,-z'
'-x+1/2,y+1/2,-z'
'x+1/2,-y+1/2,z'
loop_
_atom_site_label
_atom_site_fract_x
_atom_site_fract_y
_atom_site_fract_z
Ca1 0.000 0.000 0.000
Pr1 0.000 0.000 0.500
Pr2 0.160 0.500 0.014
Pr3 0.168 0.500 0.516
Ir1 0.008 0.500 0.262
Ir2 0.170 0.000 0.750
```

E   -132.697 eV per cell
Energy relative to the elements   -501 meV per atom
Total moment   0.0 Bohr magnetons per cell
Excess energy over the best structure of this formula in the dataset   0.0 meV/atom
V   530 Å³ per cell

***

No. 3
Compound: AsPt2Au
Source: the Alexandria database
Functional: GGA-PBE
Structure: relaxed

```
data_AsPt2Au
_chemical_formula_sum 'As3 Pt6 Au3'
_space_group_name_H-M_alt 'R 3 m'
_space_group_IT_number 160
_space_group_name_Hall 'R 3 -2"'
_cell_length_a 3.0958
_cell_length_b 3.0958
_cell_length_c 24.5506
_cell_angle_alpha 90.00
_cell_angle_beta 90.00
_cell_angle_gamma 120.00
loop_
_atom_site_label
_atom_site_fract_x
_atom_site_fract_y
_atom_site_fract_z
As1 0.0000 0.0000 0.0000
Pt1 0.0000 0.0000 0.4080
Pt2 0.0000 0.0000 0.5912
Au1 0.0000 0.0000 0.8328
```

E   -60.261 eV per cell
Energy relative to the elements   -20 meV per atom
Total moment   0.0 Bohr magnetons per cell
V   204 Å³ per cell